Version a
Density functional theory data (GGA-PBE) for a relaxed KOs3 crystal.

Summary:
For the total magnetization, the calculation gives 0.000 μB/f.u. For the calculated volume, the calculation gives 67 Å³/f.u.

Cell and atoms, written as CIF:
```
data_KOs3
_chemical_formula_sum 'K1 Os3'
_cell_length_a 5.200
_cell_length_b 5.200
_cell_length_c 2.612
_cell_angle_alpha 90.00
_cell_angle_beta 90.00
_cell_angle_gamma 109.58
_space_group_name_H-M_alt 'P 1'
_space_group_IT_number 1
_space_group_name_Hall 'P 1'
loop_
_atom_site_label
_atom_site_type_symbol
_atom_site_fract_x
_atom_site_fract_y
_atom_site_fract_z
K1 K 0.000 0.000 0.000
Os1 Os 0.000 0.500 0.500
Os2 Os 0.500 0.000 0.500
Os3 Os 0.500 0.500 0.000
```

---

Version b
Density functional theory data (GGA-PBE) for a relaxed KOs3 crystal.

Summary:
For the total magnetization, the calculation gives 0.000 μB/f.u. For the calculated volume, the calculation gives 82 Å³/f.u.

Cell and atoms, written as CIF:
```
data_KOs3
_chemical_formula_sum 'K1 Os3'
_cell_length_a 2.700
_cell_length_b 3.811
_cell_length_c 7.942
_cell_angle_alpha 90.00
_cell_angle_beta 90.38
_cell_angle_gamma 90.00
_space_group_name_H-M_alt 'P 1'
_space_group_IT_number 1
_space_group_name_Hall 'P 1'
loop_
_atom_site_label
_atom_site_type_symbol
_atom_site_fract_x
_atom_site_fract_y
_atom_site_fract_z
K1 K 0.000 0.000 0.000
Os1 Os 0.000 0.000 0.500
Os2 Os 0.497 0.500 0.340
Os3 Os 0.503 0.500 0.660
```

---

Version c
Density functional theory data (GGA-PBE) for a relaxed KOs3 crystal.

Summary:
For the total magnetization, the calculation gives 0.000 μB/f.u. For the calculated volume, the calculation gives 67 Å³/f.u.

Cell and atoms, written as CIF:
```
data_KOs3
_chemical_formula_sum 'K1 Os3'
_cell_length_a 5.512
_cell_length_b 5.512
_cell_length_c 5.512
_cell_angle_alpha 117.59
_cell_angle_beta 117.59
_cell_angle_gamma 117.59
_space_group_name_H-M_alt 'P 1'
_space_group_IT_number 1
_space_group_name_Hall 'P 1'
loop_
_atom_site_label
_atom_site_type_symbol
_atom_site_fract_x
_atom_site_fract_y
_atom_site_fract_z
K1 K 0.000 0.000 0.000
Os1 Os 0.000 0.500 0.500
Os2 Os 0.500 0.000 0.500
Os3 Os 0.500 0.500 0.000
```

---

Stability summary - winner: version b; margin: 657 meV per atom.

---

Version a
Density functional theory data (GGA-PBE) for a relaxed KOs3 crystal.

Summary:
For the total magnetization, the calculation gives 0.004 μB/f.u. For the calculated volume, the calculation gives 65 Å³/f.u.

Cell and atoms, written as CIF:
```
data_KOs3
_chemical_formula_sum 'K1 Os3'
_cell_length_a 4.514
_cell_length_b 4.514
_cell_length_c 4.514
_cell_angle_alpha 60.00
_cell_angle_beta 60.00
_cell_angle_gamma 60.00
_space_group_name_H-M_alt 'P 1'
_space_group_IT_number 1
_space_group_name_Hall 'P 1'
loop_
_atom_site_label
_atom_site_type_symbol
_atom_site_fract_x
_atom_site_fract_y
_atom_site_fract_z
K1 K 0.000 0.000 0.000
Os1 Os 0.250 0.250 0.250
Os2 Os 0.500 0.500 0.500
Os3 Os 0.750 0.750 0.750
```

---

Version b
Density functional theory data (GGA-PBE) for a relaxed KOs3 crystal.

Summary:
For the total magnetization, the calculation gives 0.000 μB/f.u. For the calculated volume, the calculation gives 78 Å³/f.u.

Cell and atoms, written as CIF:
```
data_KOs3
_chemical_formula_sum 'K4 Os12'
_cell_length_a 6.597
_cell_length_b 6.597
_cell_length_c 8.226
_cell_angle_alpha 90.00
_cell_angle_beta 90.00
_cell_angle_gamma 120.00
_space_group_name_H-M_alt 'P 1'
_space_group_IT_number 1
_space_group_name_Hall 'P 1'
loop_
_atom_site_label
_atom_site_type_symbol
_atom_site_fract_x
_atom_site_fract_y
_atom_site_fract_z
K1 K 0.000 0.000 0.000
K2 K 0.000 0.000 0.500
K3 K 0.333 0.667 0.250
K4 K 0.667 0.333 0.750
Os1 Os 0.000 0.500 0.000
Os2 Os 0.000 0.500 0.500
Os3 Os 0.207 0.415 0.750
Os4 Os 0.207 0.793 0.750
Os5 Os 0.415 0.207 0.250
Os6 Os 0.500 0.000 0.000
Os7 Os 0.500 0.000 0.500
Os8 Os 0.500 0.500 0.000
Os9 Os 0.500 0.500 0.500
Os10 Os 0.585 0.793 0.750
Os11 Os 0.793 0.207 0.250
Os12 Os 0.793 0.585 0.250
```

---

Stability summary - winner: version a; margin: 124 meV per atom.

---

Version a
Density functional theory data (GGA-PBE) for a relaxed K5Os crystal.

Summary:
For the total magnetization, the calculation gives 1.412 μB/f.u. For the calculated volume, the calculation gives 276 Å³/f.u.

Cell and atoms, written as CIF:
```
data_K5Os
_chemical_formula_sum 'K5 Os1'
_cell_length_a 6.182
_cell_length_b 12.225
_cell_length_c 12.225
_cell_angle_alpha 17.39
_cell_angle_beta 90.00
_cell_angle_gamma 90.00
_space_group_name_H-M_alt 'P 1'
_space_group_IT_number 1
_space_group_name_Hall 'P 1'
loop_
_atom_site_label
_atom_site_type_symbol
_atom_site_fract_x
_atom_site_fract_y
_atom_site_fract_z
K1 K 0.000 0.000 0.000
K2 K 0.000 0.239 0.239
K3 K 0.500 0.070 0.070
K4 K 0.500 0.376 0.376
K5 K 0.500 0.694 0.694
Os1 Os 0.000 0.620 0.620
```

---

Version b
Density functional theory data (GGA-PBE) for a relaxed K5Os crystal.

Summary:
For the total magnetization, the calculation gives 1.536 μB/f.u. For the calculated volume, the calculation gives 289 Å³/f.u.

Cell and atoms, written as CIF:
```
data_K5Os
_chemical_formula_sum 'K5 Os1'
_cell_length_a 8.935
_cell_length_b 8.935
_cell_length_c 9.988
_cell_angle_alpha 114.00
_cell_angle_beta 114.00
_cell_angle_gamma 23.49
_space_group_name_H-M_alt 'P 1'
_space_group_IT_number 1
_space_group_name_Hall 'P 1'
loop_
_atom_site_label
_atom_site_type_symbol
_atom_site_fract_x
_atom_site_fract_y
_atom_site_fract_z
K1 K 0.000 0.000 0.000
K2 K 0.015 0.015 0.650
K3 K 0.244 0.244 0.789
K4 K 0.324 0.324 0.190
K5 K 0.672 0.672 0.342
Os1 Os 0.652 0.652 0.971
```

---

Stability summary - winner: version b; margin: 53 meV per atom.

---

Version a
Density functional theory data (GGA-PBE) for a relaxed KOs4 crystal.

Summary:
For the total magnetization, the calculation gives 0.000 μB/f.u. For the calculated volume, the calculation gives 87 Å³/f.u.

Cell and atoms, written as CIF:
```
data_KOs4
_chemical_formula_sum 'K1 Os4'
_cell_length_a 4.435
_cell_length_b 4.435
_cell_length_c 4.435
_cell_angle_alpha 90.00
_cell_angle_beta 90.00
_cell_angle_gamma 90.00
_space_group_name_H-M_alt 'P 1'
_space_group_IT_number 1
_space_group_name_Hall 'P 1'
loop_
_atom_site_label
_atom_site_type_symbol
_atom_site_fract_x
_atom_site_fract_y
_atom_site_fract_z
K1 K 0.000 0.000 0.000
Os1 Os 0.000 0.000 0.500
Os2 Os 0.000 0.500 0.000
Os3 Os 0.500 0.000 0.000
Os4 Os 0.500 0.500 0.500
```

---

Version b
Density functional theory data (GGA-PBE) for a relaxed KOs4 crystal.

Summary:
For the total magnetization, the calculation gives 0.000 μB/f.u. For the calculated volume, the calculation gives 92 Å³/f.u.

Cell and atoms, written as CIF:
```
data_KOs4
_chemical_formula_sum 'K1 Os4'
_cell_length_a 4.926
_cell_length_b 4.926
_cell_length_c 4.926
_cell_angle_alpha 109.47
_cell_angle_beta 109.47
_cell_angle_gamma 109.47
_space_group_name_H-M_alt 'P 1'
_space_group_IT_number 1
_space_group_name_Hall 'P 1'
loop_
_atom_site_label
_atom_site_type_symbol
_atom_site_fract_x
_atom_site_fract_y
_atom_site_fract_z
K1 K 0.000 0.000 0.000
Os1 Os 0.000 0.000 0.500
Os2 Os 0.000 0.500 0.000
Os3 Os 0.500 0.000 0.000
Os4 Os 0.500 0.500 0.500
```

---

Stability summary - winner: version b; margin: 600 meV per atom.

---

Version a
Density functional theory data (GGA-PBE) for a relaxed KPOs2 crystal.

Summary:
For the total magnetization, the calculation gives 0.000 μB/f.u. For the calculated volume, the calculation gives 68 Å³/f.u.

Cell and atoms, written as CIF:
```
data_KPOs2
_chemical_formula_sum 'K1 P1 Os2'
_cell_length_a 5.598
_cell_length_b 5.598
_cell_length_c 5.598
_cell_angle_alpha 151.08
_cell_angle_beta 125.89
_cell_angle_gamma 62.52
_space_group_name_H-M_alt 'P 1'
_space_group_IT_number 1
_space_group_name_Hall 'P 1'
loop_
_atom_site_label
_atom_site_type_symbol
_atom_site_fract_x
_atom_site_fract_y
_atom_site_fract_z
K1 K 0.000 0.000 0.000
P1 P 0.500 0.500 0.000
Os1 Os 0.302 0.802 0.500
Os2 Os 0.698 0.198 0.500
```

---

Version b
Density functional theory data (GGA-PBE) for a relaxed KPOs2 crystal.

Summary:
For the total magnetization, the calculation gives 0.000 μB/f.u. For the calculated volume, the calculation gives 86 Å³/f.u.

Cell and atoms, written as CIF:
```
data_KPOs2
_chemical_formula_sum 'K1 P1 Os2'
_cell_length_a 4.866
_cell_length_b 4.866
_cell_length_c 6.574
_cell_angle_alpha 102.55
_cell_angle_beta 102.55
_cell_angle_gamma 34.68
_space_group_name_H-M_alt 'P 1'
_space_group_IT_number 1
_space_group_name_Hall 'P 1'
loop_
_atom_site_label
_atom_site_type_symbol
_atom_site_fract_x
_atom_site_fract_y
_atom_site_fract_z
K1 K 0.000 0.000 0.000
P1 P 0.783 0.783 0.330
Os1 Os 0.214 0.214 0.576
Os2 Os 0.481 0.481 0.508
```

---

Stability summary - winner: version b; margin: 386 meV per atom.

---

Version a
Density functional theory data (GGA-PBE) for a relaxed KPOs3 crystal.

Summary:
For the total magnetization, the calculation gives 0.593 μB/f.u. For the calculated volume, the calculation gives 97 Å³/f.u.

Cell and atoms, written as CIF:
```
data_KPOs3
_chemical_formula_sum 'K1 P1 Os3'
_cell_length_a 4.588
_cell_length_b 4.588
_cell_length_c 4.588
_cell_angle_alpha 90.00
_cell_angle_beta 90.00
_cell_angle_gamma 90.00
_space_group_name_H-M_alt 'P 1'
_space_group_IT_number 1
_space_group_name_Hall 'P 1'
loop_
_atom_site_label
_atom_site_type_symbol
_atom_site_fract_x
_atom_site_fract_y
_atom_site_fract_z
K1 K 0.000 0.000 0.000
P1 P 0.500 0.500 0.500
Os1 Os 0.000 0.000 0.500
Os2 Os 0.000 0.500 0.000
Os3 Os 0.500 0.000 0.000
```

---

Version b
Density functional theory data (GGA-PBE) for a relaxed KPOs3 crystal.

Summary:
For the total magnetization, the calculation gives 1.506 μB/f.u. For the calculated volume, the calculation gives 91 Å³/f.u.

Cell and atoms, written as CIF:
```
data_KPOs3
_chemical_formula_sum 'K1 P1 Os3'
_cell_length_a 4.503
_cell_length_b 4.503
_cell_length_c 4.503
_cell_angle_alpha 90.00
_cell_angle_beta 90.00
_cell_angle_gamma 90.00
_space_group_name_H-M_alt 'P 1'
_space_group_IT_number 1
_space_group_name_Hall 'P 1'
loop_
_atom_site_label
_atom_site_type_symbol
_atom_site_fract_x
_atom_site_fract_y
_atom_site_fract_z
K1 K 0.000 0.000 0.000
P1 P 0.500 0.500 0.500
Os1 Os 0.000 0.500 0.500
Os2 Os 0.500 0.000 0.500
Os3 Os 0.500 0.500 0.000
```

---

Stability summary - winner: version b; margin: 2887 meV per atom.

---

Version a
Density functional theory data (GGA-PBE) for a relaxed KPOsS2 crystal.

Summary:
For the total magnetization, the calculation gives 4.461 μB/f.u. For the calculated volume, the calculation gives 141 Å³/f.u.

Cell and atoms, written as CIF:
```
data_KPOsS2
_chemical_formula_sum 'K1 P1 Os1 S2'
_cell_length_a 5.181
_cell_length_b 5.181
_cell_length_c 5.241
_cell_angle_alpha 90.00
_cell_angle_beta 90.00
_cell_angle_gamma 90.00
_space_group_name_H-M_alt 'P 1'
_space_group_IT_number 1
_space_group_name_Hall 'P 1'
loop_
_atom_site_label
_atom_site_type_symbol
_atom_site_fract_x
_atom_site_fract_y
_atom_site_fract_z
K1 K 0.000 0.000 0.000
P1 P 0.000 0.000 0.500
Os1 Os 0.500 0.500 0.500
S1 S 0.000 0.500 0.000
S2 S 0.500 0.000 0.000
```

---

Version b
Density functional theory data (GGA-PBE) for a relaxed KPOsS2 crystal.

Summary:
For the total magnetization, the calculation gives 1.090 μB/f.u. For the calculated volume, the calculation gives 110 Å³/f.u.

Cell and atoms, written as CIF:
```
data_KPOsS2
_chemical_formula_sum 'K1 P1 Os1 S2'
_cell_length_a 4.932
_cell_length_b 4.932
_cell_length_c 4.503
_cell_angle_alpha 90.00
_cell_angle_beta 90.00
_cell_angle_gamma 90.00
_space_group_name_H-M_alt 'P 1'
_space_group_IT_number 1
_space_group_name_Hall 'P 1'
loop_
_atom_site_label
_atom_site_type_symbol
_atom_site_fract_x
_atom_site_fract_y
_atom_site_fract_z
K1 K 0.000 0.000 0.000
P1 P 0.500 0.500 0.000
Os1 Os 0.500 0.500 0.500
S1 S 0.000 0.500 0.500
S2 S 0.500 0.000 0.500
```

---

Stability summary - winner: version b; margin: 2471 meV per atom.

---

Version a
Density functional theory data (GGA-PBE) for a relaxed KP2OsS crystal.

Summary:
For the total magnetization, the calculation gives 0.000 μB/f.u. For the calculated volume, the calculation gives 113 Å³/f.u.

Cell and atoms, written as CIF:
```
data_KP2OsS
_chemical_formula_sum 'K1 P2 Os1 S1'
_cell_length_a 4.507
_cell_length_b 4.507
_cell_length_c 5.578
_cell_angle_alpha 90.00
_cell_angle_beta 90.00
_cell_angle_gamma 90.00
_space_group_name_H-M_alt 'P 1'
_space_group_IT_number 1
_space_group_name_Hall 'P 1'
loop_
_atom_site_label
_atom_site_type_symbol
_atom_site_fract_x
_atom_site_fract_y
_atom_site_fract_z
K1 K 0.000 0.000 0.000
P1 P 0.000 0.500 0.500
P2 P 0.500 0.000 0.500
Os1 Os 0.500 0.500 0.500
S1 S 0.500 0.500 0.000
```

---

Version b
Density functional theory data (GGA-PBE) for a relaxed KP2OsS crystal.

Summary:
For the total magnetization, the calculation gives 0.001 μB/f.u. For the calculated volume, the calculation gives 118 Å³/f.u.

Cell and atoms, written as CIF:
```
data_KP2OsS
_chemical_formula_sum 'K1 P2 Os1 S1'
_cell_length_a 4.869
_cell_length_b 4.869
_cell_length_c 4.962
_cell_angle_alpha 90.00
_cell_angle_beta 90.00
_cell_angle_gamma 90.00
_space_group_name_H-M_alt 'P 1'
_space_group_IT_number 1
_space_group_name_Hall 'P 1'
loop_
_atom_site_label
_atom_site_type_symbol
_atom_site_fract_x
_atom_site_fract_y
_atom_site_fract_z
K1 K 0.000 0.000 0.000
P1 P 0.000 0.500 0.000
P2 P 0.500 0.000 0.000
Os1 Os 0.500 0.500 0.500
S1 S 0.000 0.000 0.500
```

---

Stability summary - winner: version a; margin: 2718 meV per atom.